Below is a geometry-optimized GaTeAs2Br structure, with properties calculated at the PBE level.

a = 5.1058 Å, b = 5.1058 Å, c = 4.9063 Å
α = 90.00°, β = 90.00°, γ = 90.00°
Last column: nearest neighbours and their distance in Å.
Fractional coordinates of all 5 atoms:
Te (0.5000, 0.5000, 0.5000)  8 As 3.54, 4 Br 3.61
As (0.5000, 0.0000, 0.0000)  2 Ga 2.55
As (0.0000, 0.5000, 0.0000)  2 Ga 2.55
Ga (0.0000, 0.0000, 0.0000)  2 Br 2.45, 4 As 2.55
Br (0.0000, 0.0000, 0.5000)  2 Ga 2.45

## Properties
E_form (uncorrected) (eV per atom): 0.443
E above lowest polymorph (eV per formula unit): 0.00

=====

Below is a geometry-optimized TiGaAsBr2 structure, with properties calculated at the PBE level.

a = 5.1963 Å, b = 5.1963 Å, c = 4.9836 Å
α = 90.00°, β = 90.00°, γ = 90.00°
Last column: nearest neighbours and their distance in Å.
Fractional coordinates of all 5 atoms:
Br (0.5000, 0.0000, 0.0000)  2 Ti 2.60
Br (0.0000, 0.5000, 0.0000)  2 Ti 2.60
As (0.0000, 0.0000, 0.5000)  2 Ti 2.49
Ga (0.5000, 0.5000, 0.5000)  8 Br 3.60, 4 As 3.67
Ti (0.0000, 0.0000, 0.0000)  2 As 2.49, 4 Br 2.60

## Properties
E_form (uncorrected) (eV per atom): -0.347
E above lowest polymorph (eV per formula unit): 0.00

=====

Below is a geometry-optimized TiGaAsBr2 structure, with properties calculated at the PBE level.

a = 5.0609 Å, b = 5.0609 Å, c = 5.0846 Å
α = 90.00°, β = 90.00°, γ = 90.00°
Last column: nearest neighbours and their distance in Å.
Fractional coordinates of all 5 atoms:
Ga (0.0000, 0.0000, 0.0000)  4 Br 2.53, 2 As 2.54
Ti (0.5000, 0.5000, 0.5000)  4 As 3.58, 8 Br 3.59
Br (0.5000, 0.0000, 0.0000)  2 Ga 2.53
Br (0.0000, 0.5000, 0.0000)  2 Ga 2.53
As (0.0000, 0.0000, 0.5000)  2 Ga 2.54

## Properties
E_form (uncorrected) (eV per atom): 0.432
E above lowest polymorph (eV per formula unit): 3.90

=====

Below is a geometry-optimized TiGaAs2Br structure, with properties calculated at the PBE level.

a = 4.8428 Å, b = 4.8428 Å, c = 5.2552 Å
α = 90.00°, β = 90.00°, γ = 90.00°
Last column: nearest neighbours and their distance in Å.
Fractional coordinates of all 5 atoms:
Ti (0.5000, 0.5000, 0.5000)  4 Br 3.42, 8 As 3.57
As (0.5000, 0.0000, 0.0000)  2 Ga 2.42
As (0.0000, 0.5000, 0.0000)  2 Ga 2.42
Br (0.0000, 0.0000, 0.5000)  2 Ga 2.63
Ga (0.0000, 0.0000, 0.0000)  4 As 2.42, 2 Br 2.63

## Properties
E_form (uncorrected) (eV per atom): 0.550
E above lowest polymorph (eV per formula unit): 3.38

=====

Below is a geometry-optimized TiGaAs2Br structure, with properties calculated at the PBE level.

a = 4.8517 Å, b = 4.8517 Å, c = 5.5798 Å
α = 90.00°, β = 90.00°, γ = 90.00°
Last column: nearest neighbours and their distance in Å.
Fractional coordinates of all 5 atoms:
Ga (0.5000, 0.5000, 0.5000)  4 Br 3.43, 8 As 3.70
As (0.5000, 0.0000, 0.0000)  2 Ti 2.43
As (0.0000, 0.5000, 0.0000)  2 Ti 2.43
Ti (0.0000, 0.0000, 0.0000)  4 As 2.43
Br (0.0000, 0.0000, 0.5000)  2 Ti 2.79

## Properties
E_form (uncorrected) (eV per atom): -0.127
E above lowest polymorph (eV per formula unit): 0.00

=====

Below is a geometry-optimized TlGaAsBr2 structure, with properties calculated at the PBE level.

a = 5.9505 Å, b = 5.9505 Å, c = 5.4388 Å
α = 90.00°, β = 90.00°, γ = 90.00°
Last column: nearest neighbours and their distance in Å.
Fractional coordinates of all 5 atoms:
Br (0.5000, 0.0000, 0.0000)  2 Tl 2.98
Br (0.0000, 0.5000, 0.0000)  2 Tl 2.98
As (0.0000, 0.0000, 0.5000)  2 Tl 2.72
Ga (0.5000, 0.5000, 0.5000)  8 Br 4.03, 4 As 4.21
Tl (0.0000, 0.0000, 0.0000)  2 As 2.72, 4 Br 2.98

## Properties
E_form (uncorrected) (eV per atom): 0.139
E above lowest polymorph (eV per formula unit): 1.62

=====

Below is a geometry-optimized TlGaAsBr2 structure, with properties calculated at the PBE level.

a = 5.5220 Å, b = 5.5220 Å, c = 5.0486 Å
α = 90.00°, β = 90.00°, γ = 90.00°
Last column: nearest neighbours and their distance in Å.
Fractional coordinates of all 5 atoms:
Br (0.5000, 0.0000, 0.0000)  2 Ga 2.76
Br (0.0000, 0.5000, 0.0000)  2 Ga 2.76
As (0.0000, 0.0000, 0.5000)  2 Ga 2.52
Ga (0.0000, 0.0000, 0.0000)  2 As 2.52, 4 Br 2.76
Tl (0.5000, 0.5000, 0.5000)  8 Br 3.74, 4 As 3.90

## Properties
E_form (uncorrected) (eV per atom): -0.184
E above lowest polymorph (eV per formula unit): 0.00

=====

Below is a geometry-optimized VGaAs2Br structure, with properties calculated at the PBE level.

a = 4.8307 Å, b = 4.8307 Å, c = 5.3075 Å
α = 90.00°, β = 90.00°, γ = 90.00°
Last column: nearest neighbours and their distance in Å.
Fractional coordinates of all 5 atoms:
Br (0.0000, 0.0000, 0.5000)  2 Ga 2.65
V (0.5000, 0.5000, 0.5000)  4 Br 3.42, 8 As 3.59
As (0.5000, 0.0000, 0.0000)  2 Ga 2.42
As (0.0000, 0.5000, 0.0000)  2 Ga 2.42
Ga (0.0000, 0.0000, 0.0000)  4 As 2.42, 2 Br 2.65

## Properties
E_form (uncorrected) (eV per atom): 0.751
E above lowest polymorph (eV per formula unit): 3.50

=====

Below is a geometry-optimized VGaAs2Br structure, with properties calculated at the PBE level.

a = 4.6971 Å, b = 4.6971 Å, c = 5.6072 Å
α = 90.00°, β = 90.00°, γ = 90.00°
Last column: nearest neighbours and their distance in Å.
Fractional coordinates of all 5 atoms:
As (0.0000, 0.5000, 0.0000)  2 V 2.35
As (0.5000, 0.0000, 0.0000)  2 V 2.35
Ga (0.5000, 0.5000, 0.5000)  4 Br 3.32, 8 As 3.66
V (0.0000, 0.0000, 0.0000)  4 As 2.35
Br (0.0000, 0.0000, 0.5000)  2 V 2.80

## Properties
E_form (uncorrected) (eV per atom): 0.051
E above lowest polymorph (eV per formula unit): 0.00

=====

Below is a geometry-optimized YGaAsBr2 structure, with properties calculated at the PBE level.

a = 5.0850 Å, b = 5.0850 Å, c = 5.1584 Å
α = 90.00°, β = 90.00°, γ = 90.00°
Last column: nearest neighbours and their distance in Å.
Fractional coordinates of all 5 atoms:
As (0.0000, 0.0000, 0.5000)  2 Ga 2.58
Ga (0.0000, 0.0000, 0.0000)  4 Br 2.54, 2 As 2.58
Y (0.5000, 0.5000, 0.5000)  4 As 3.60, 8 Br 3.62
Br (0.0000, 0.5000, 0.0000)  2 Ga 2.54
Br (0.5000, 0.0000, 0.0000)  2 Ga 2.54

## Properties
E_form (uncorrected) (eV per atom): -0.319
E above lowest polymorph (eV per formula unit): 1.64

=====

Below is a geometry-optimized YGaAs2Br structure, with properties calculated at the PBE level.

a = 4.8967 Å, b = 4.8967 Å, c = 5.2131 Å
α = 90.00°, β = 90.00°, γ = 90.00°
Last column: nearest neighbours and their distance in Å.
Fractional coordinates of all 5 atoms:
Y (0.5000, 0.5000, 0.5000)  4 Br 3.46, 8 As 3.58
As (0.0000, 0.5000, 0.0000)  2 Ga 2.45
As (0.5000, 0.0000, 0.0000)  2 Ga 2.45
Ga (0.0000, 0.0000, 0.0000)  4 As 2.45, 2 Br 2.61
Br (0.0000, 0.0000, 0.5000)  2 Ga 2.61

## Properties
E_form (uncorrected) (eV per atom): -0.162
E above lowest polymorph (eV per formula unit): 0.00

=====

Below is a geometry-optimized YGaAsBr2 structure, with properties calculated at the PBE level.

a = 5.5459 Å, b = 5.5459 Å, c = 5.6813 Å
α = 90.00°, β = 90.00°, γ = 90.00°
Last column: nearest neighbours and their distance in Å.
Fractional coordinates of all 5 atoms:
Br (0.0000, 0.5000, 0.0000)  2 Y 2.77
Br (0.5000, 0.0000, 0.0000)  2 Y 2.77
As (0.0000, 0.0000, 0.5000)  2 Y 2.84
Y (0.0000, 0.0000, 0.0000)  4 Br 2.77, 2 As 2.84
Ga (0.5000, 0.5000, 0.5000)  4 As 3.92, 8 Br 3.97

## Properties
E_form (uncorrected) (eV per atom): -0.648
E above lowest polymorph (eV per formula unit): 0.00